A geometry-optimized NaSe2 structure. Source: Alexandria via LeMat-Bulk, functional GGA-PBE.

Computed properties:
ΔE_f (raw)	-446	meV per atom
electronic total energy	-0.236	Ry/atom
Fermi-level density of states	0.626	states/eV per atom
M_tot	0.00	Bohr magnetons per cell

abc: 3.961 3.961 5.888
angles: 109.46 109.46 89.99
Fractional coordinates of all 3 atoms:
Na (0.000, 0.000, 0.000)
Se (0.388, 0.388, 0.774)
Se (0.612, 0.612, 0.226)

=====

A geometry-optimized PmY6Sc structure. Source: Alexandria via LeMat-Bulk, functional GGA-PBE.

Computed properties:
electronic total energy	-0.458	Ry/atom
formation enthalpy at 0 K	0.00	eV/atom
Fermi-level density of states	2.108	states/eV per atom
M_tot	0.01	Bohr magnetons per cell

abc: 5.642 7.228 7.228
angles: 60.02 90.00 90.00
Fractional coordinates of all 8 atoms:
Pm (0.000, 0.000, 0.000)
Y (0.000, 0.003, 0.498)
Y (0.000, 0.498, 0.003)
Y (0.000, 0.499, 0.499)
Y (0.500, 0.331, 0.835)
Y (0.500, 0.834, 0.834)
Y (0.500, 0.835, 0.331)
Sc (0.500, 0.333, 0.333)